VASP calculation (meta-GGA SCAN) on a crystal of EuGaPt relaxed with PBEsol.

Values from the calculation:
formation energy from the elements	-3.22	eV/f.u.
final energy	-47.83	eV per atom
density	11.5	g/cm3
total magnetization	28.32	μB per cell

Cell: 7.085 4.415 7.677 Å, 90.00 90.00 90.00°
Space group Pnma (No. 62)
Asymmetric unit:
Eu (0.018, 0.250, 0.189)
Ga (0.162, 0.250, 0.574)
Pt (0.210, 0.750, 0.395)